Model i:
# GGA-PBE Gd2ThCd, relaxed
data_Gd2ThCd
_cell_length_a 3.611
_cell_length_b 3.611
_cell_length_c 9.040
_cell_angle_alpha 90.00
_cell_angle_beta 90.00
_cell_angle_gamma 90.00
_space_group_name_H-M_alt 'P 4/m m m'
_space_group_IT_number 123
_space_group_name_Hall '-P 4 2'
loop_
_atom_site_label
_atom_site_type_symbol
_atom_site_fract_x
_atom_site_fract_y
_atom_site_fract_z
_atom_site_occupancy
Gd1 Gd 0.000 0.000 0.232 1
Th1 Th 0.500 0.500 0.500 1
Cd1 Cd 0.500 0.500 0.000 1
# total magnetic moment	14.43	Bohr magnetons per cell
# crystal system	tetragonal



Model ii:
# GGA-PBE Gd2ThCd, relaxed
data_Gd2ThCd
_cell_length_a 3.5273
_cell_length_b 3.5273
_cell_length_c 36.0847
_cell_angle_alpha 90.00
_cell_angle_beta 90.00
_cell_angle_gamma 120.00
_space_group_name_H-M_alt 'R -3 m'
_space_group_IT_number 166
_space_group_name_Hall '-R 3 2"'
loop_
_atom_site_label
_atom_site_type_symbol
_atom_site_fract_x
_atom_site_fract_y
_atom_site_fract_z
_atom_site_occupancy
Gd1 Gd 0.0000 0.0000 0.0895 1
Th1 Th 0.0000 0.0000 0.5000 1
Cd1 Cd 0.0000 0.0000 0.0000 1
# total magnetic moment	43.92	Bohr magnetons per cell
# crystal system	trigonal



Model iii:
# GGA-PBE Gd2ThCd, relaxed
data_Gd2ThCd
_cell_length_a 7.815
_cell_length_b 7.815
_cell_length_c 7.815
_cell_angle_alpha 90.00
_cell_angle_beta 90.00
_cell_angle_gamma 90.00
_space_group_name_H-M_alt 'F m -3 m'
_space_group_IT_number 225
_space_group_name_Hall '-F 4 2 3'
loop_
_atom_site_label
_atom_site_type_symbol
_atom_site_fract_x
_atom_site_fract_y
_atom_site_fract_z
_atom_site_occupancy
Gd1 Gd 0.250 0.250 0.250 1
Th1 Th 0.000 0.000 0.000 1
Cd1 Cd 0.000 0.000 0.500 1
# total magnetic moment	64.16	Bohr magnetons per cell
# crystal system	cubic



Model iv:
# GGA-PBE Gd2ThCd, relaxed
data_Gd2ThCd
_cell_length_a 4.894
_cell_length_b 4.894
_cell_length_c 4.915
_cell_angle_alpha 90.00
_cell_angle_beta 90.00
_cell_angle_gamma 90.00
_space_group_name_H-M_alt 'P 4/m m m'
_space_group_IT_number 123
_space_group_name_Hall '-P 4 2'
loop_
_atom_site_label
_atom_site_type_symbol
_atom_site_fract_x
_atom_site_fract_y
_atom_site_fract_z
_atom_site_occupancy
Gd1 Gd 0.000 0.500 0.000 1
Th1 Th 0.000 0.000 0.500 1
Cd1 Cd 0.500 0.500 0.500 1
# total magnetic moment	15.22	Bohr magnetons per cell
# crystal system	tetragonal



Which structure is the most stable? The one labeled model i.



Model i:
# GGA-PBE GdTmCd, relaxed
data_GdTmCd
_cell_length_a 5.2505
_cell_length_b 5.2505
_cell_length_c 3.5339
_cell_angle_alpha 90.00
_cell_angle_beta 90.00
_cell_angle_gamma 120.00
_space_group_name_H-M_alt 'P 3 m 1'
_space_group_IT_number 156
loop_
_space_group_symop_operation_xyz
'x,y,z'
'-y,x-y,z'
'-x+y,-x,z'
'-y,-x,z'
'-x+y,y,z'
'x,x-y,z'
loop_
_atom_site_label
_atom_site_type_symbol
_atom_site_fract_x
_atom_site_fract_y
_atom_site_fract_z
_atom_site_occupancy
Gd1 Gd 0.0000 0.0000 0.0000 1
Tm1 Tm 0.3333 0.6667 0.4442 1
Cd1 Cd 0.6667 0.3333 0.6615 1
# total magnetic moment	7.39	Bohr magnetons per cell
# crystal system	trigonal



Model ii:
# GGA-PBE GdTmCd, relaxed
data_GdTmCd
_cell_length_a 3.348
_cell_length_b 3.348
_cell_length_c 17.760
_cell_angle_alpha 90.00
_cell_angle_beta 90.00
_cell_angle_gamma 90.00
_space_group_name_H-M_alt 'I 4 m m'
_space_group_IT_number 107
_space_group_name_Hall 'I 4 -2'
loop_
_atom_site_label
_atom_site_type_symbol
_atom_site_fract_x
_atom_site_fract_y
_atom_site_fract_z
_atom_site_occupancy
Gd1 Gd 0.000 0.000 0.000 1
Tm1 Tm 0.000 0.000 0.640 1
Cd1 Cd 0.000 0.000 0.817 1
# total magnetic moment	16.44	Bohr magnetons per cell
# crystal system	tetragonal



Which structure is the most stable? The one labeled model i.



Model i:
# GGA-PBE GdYCd, relaxed
data_GdYCd
_cell_length_a 5.2853
_cell_length_b 5.2853
_cell_length_c 3.5709
_cell_angle_alpha 90.00
_cell_angle_beta 90.00
_cell_angle_gamma 120.00
_space_group_name_H-M_alt 'P 3 m 1'
_space_group_IT_number 156
loop_
_space_group_symop_operation_xyz
'x,y,z'
'-y,x-y,z'
'-x+y,-x,z'
'-y,-x,z'
'-x+y,y,z'
'x,x-y,z'
loop_
_atom_site_label
_atom_site_type_symbol
_atom_site_fract_x
_atom_site_fract_y
_atom_site_fract_z
_atom_site_occupancy
Gd1 Gd 0.0000 0.0000 0.0000 1
Y1 Y 0.6667 0.3333 0.4367 1
Cd1 Cd 0.3333 0.6667 0.7052 1
# total magnetic moment	7.42	Bohr magnetons per cell
# crystal system	trigonal



Model ii:
# GGA-PBE GdYCd, relaxed
data_GdYCd
_cell_length_a 3.649
_cell_length_b 3.649
_cell_length_c 13.016
_cell_angle_alpha 90.00
_cell_angle_beta 90.00
_cell_angle_gamma 90.00
_space_group_name_H-M_alt 'I 4 m m'
_space_group_IT_number 107
_space_group_name_Hall 'I 4 -2'
loop_
_atom_site_label
_atom_site_type_symbol
_atom_site_fract_x
_atom_site_fract_y
_atom_site_fract_z
_atom_site_occupancy
Gd1 Gd 0.000 0.000 0.000 1
Y1 Y 0.000 0.000 0.690 1
Cd1 Cd 0.000 0.000 0.342 1
# total magnetic moment	16.35	Bohr magnetons per cell
# crystal system	tetragonal



Which structure is the most stable? The one labeled model ii.